a | Here is a relaxed Dy2LuSn crystal from the Alexandria database. Energies are from PBE.

```
Dy2LuSn
1.0
7.588 0.000 0.000
0.000 7.588 0.000
0.000 0.000 7.588
Dy Lu Sn
8 4 4
direct
0.250 0.250 0.250 Dy
0.250 0.250 0.750 Dy
0.250 0.750 0.250 Dy
0.250 0.750 0.750 Dy
0.750 0.250 0.250 Dy
0.750 0.250 0.750 Dy
0.750 0.750 0.250 Dy
0.750 0.750 0.750 Dy
0.000 0.000 0.000 Lu
0.000 0.500 0.500 Lu
0.500 0.000 0.500 Lu
0.500 0.500 0.000 Lu
0.000 0.000 0.500 Sn
0.000 0.500 0.000 Sn
0.500 0.000 0.000 Sn
0.500 0.500 0.500 Sn
```

Computed properties:
Crystal system = cubic
Density = 9.41 g/cm3
Space group = Fm-3m (225)



b | Here is a relaxed Dy2LuSn crystal from the Alexandria database. Energies are from PBE.

```
Dy2LuSn
1.0
4.766 0.000 0.000
0.000 4.766 0.000
0.000 0.000 4.796
Dy Lu Sn
2 1 1
direct
0.000 0.500 0.000 Dy
0.500 0.000 0.000 Dy
0.000 0.000 0.500 Lu
0.500 0.500 0.500 Sn
```

Computed properties:
Crystal system = tetragonal
Density = 9.43 g/cm3
Space group = P4/mmm (123)



Most stable structure: b



a | Here is a relaxed SrDyLu crystal from the Alexandria database. Energies are from PBE.

```
SrDyLu
1.0
3.685 0.000 0.000
-1.843 3.191 0.000
0.000 0.000 9.146
Sr Dy Lu
1 1 1
direct
0.000 0.000 0.000 Sr
0.333 0.667 0.641 Dy
0.667 0.333 0.350 Lu
```

Computed properties:
Crystal system = trigonal
Density = 6.56 g/cm3
Space group = P3m1 (156)



b | Here is a relaxed SrDyLu crystal from the Alexandria database. Energies are from PBE.

```
SrDyLu
1.0
3.703 0.000 0.000
0.000 3.703 0.000
0.000 0.000 15.867
Sr Dy Lu
2 2 2
direct
0.000 0.000 0.000 Sr
0.500 0.500 0.500 Sr
0.000 0.000 0.317 Dy
0.500 0.500 0.817 Dy
0.000 0.000 0.680 Lu
0.500 0.500 0.180 Lu
```

Computed properties:
Crystal system = tetragonal
Density = 6.49 g/cm3
Space group = I4mm (107)



Most stable structure: b



a | Here is a relaxed TbDyLu crystal from the Alexandria database. Energies are from PBE.

```
TbDyLu
1.0
3.510 0.000 0.000
0.000 3.510 0.000
0.000 0.000 14.944
Tb Dy Lu
2 2 2
direct
0.000 0.000 0.000 Tb
0.500 0.500 0.500 Tb
0.000 0.000 0.331 Dy
0.500 0.500 0.831 Dy
0.000 0.000 0.666 Lu
0.500 0.500 0.166 Lu
```

Computed properties:
Crystal system = tetragonal
Density = 8.96 g/cm3
Space group = I4mm (107)



b | Here is a relaxed TbDyLu crystal from the Alexandria database. Energies are from PBE.

```
TbDyLu
1.0
5.566 0.000 0.000
-2.783 4.820 0.000
0.000 0.000 3.419
Tb Dy Lu
1 1 1
direct
0.000 0.000 0.000 Tb
0.667 0.333 0.500 Dy
0.333 0.667 0.500 Lu
```

Computed properties:
Crystal system = hexagonal
Density = 8.99 g/cm3
Space group = P-6m2 (187)



Most stable structure: a